1.
Here is YMnW after structural relaxation from Alexandria. Energies are from PBE-GGA.

Lattice parameters (Å, degrees): 6.025 6.025 3.154 74.83 74.83 30.34
Each line ends with the local moment (μB).
Atoms (fractional coordinates):
1 W 0.632 0.632 0.368  -0.16
2 Y 0.335 0.335 0.665  0.06
3 Mn 0.033 0.033 0.967  1.27

Its uncorrected energy is -9.219 eV/atom. Its density of states at the Fermi level is 1.174 states/eV/atom. For the formation energy, the calculation gives 0.3104 eV per atom. The value obtained for the volume is 18.55 Å³/atom. Its symmetry is I4mm. The calculation puts the total magnetic moment at 0.42 μB/atom.

***

2.
Here is YMnW after structural relaxation from Alexandria. Energies are from PBE-GGA.

Lattice parameters (Å, degrees): 3.153 3.153 6.632 90.00 90.00 120.00
Each line ends with the local moment (μB).
Atoms (fractional coordinates):
1 W 0.667 0.333 0.286  -0.33
2 Mn 0.000 0.000 0.041  1.74
3 Y 0.333 0.667 0.673  0.01

Its uncorrected energy is -8.911 eV/atom. Its density of states at the Fermi level is 0.916 states/eV/atom. For the formation energy, the calculation gives 0.6182 eV per atom. The value obtained for the volume is 19.04 Å³/atom. Its symmetry is P3m1. The calculation puts the total magnetic moment at 0.49 μB/atom.

***

3.
Here is YMn2W2 after structural relaxation from Alexandria. Energies are from PBE-GGA.

Lattice parameters (Å, degrees): 4.224 4.224 5.817 68.71 68.71 90.00
Atoms (fractional coordinates):
1 Mn 0.250 0.750 0.500
2 Y 0.000 0.000 0.000
3 W 0.633 0.633 0.734
4 Mn 0.750 0.250 0.500
5 W 0.367 0.367 0.266

Its uncorrected energy is -9.776 eV/atom. Its density of states at the Fermi level is 1.159 states/eV/atom. For the formation energy, the calculation gives 0.3663 eV per atom. The value obtained for the volume is 17.81 Å³/atom. Its symmetry is I4/mmm. The calculation puts the total magnetic moment at 0.00 μB/atom.

***

4.
Here is YMnW3 after structural relaxation from Alexandria. Energies are from PBE-GGA.

Lattice parameters (Å, degrees): 4.748 4.748 4.748 90.00 90.00 90.00
Each line ends with the local moment (μB).
Atoms (fractional coordinates):
1 W 0.000 0.000 0.500  0.00
2 Y 0.000 0.000 0.000  0.02
3 W 0.000 0.500 0.000  0.00
4 Mn 0.500 0.500 0.500  0.12
5 W 0.500 0.000 0.000  0.02

Its uncorrected energy is -7.423 eV/atom. Its density of states at the Fermi level is 1.381 states/eV/atom. For the formation energy, the calculation gives 3.4752 eV per atom. The value obtained for the volume is 21.41 Å³/atom. Its symmetry is Pm-3m. The calculation puts the total magnetic moment at 0.02 μB/atom.

***

5.
Here is Y2Mn2W after structural relaxation from Alexandria. Energies are from PBE-GGA.

Lattice parameters (Å, degrees): 6.321 6.321 4.778 90.00 90.00 90.00
Each line ends with the local moment (μB).
Atoms (fractional coordinates):
1 Y 0.319 0.181 0.500  -0.04
2 Mn 0.622 0.122 0.000  0.79
3 Mn 0.878 0.622 0.000  0.77
4 W 0.500 0.500 0.000  -0.25
5 Y 0.681 0.819 0.500  -0.04
6 Y 0.819 0.319 0.500  -0.04
7 Y 0.181 0.681 0.500  -0.04
8 Mn 0.122 0.378 0.000  0.77
9 W 0.000 0.000 0.000  -0.27
10 Mn 0.378 0.878 0.000  0.79

Its uncorrected energy is -8.584 eV/atom. Its density of states at the Fermi level is 1.132 states/eV/atom. For the formation energy, the calculation gives 0.2596 eV per atom. The value obtained for the volume is 19.09 Å³/atom. Its symmetry is P4/mbm. The calculation puts the total magnetic moment at 0.25 μB/atom.

***

6.
Here is YMnW3 after structural relaxation from Alexandria. Energies are from PBE-GGA.

Lattice parameters (Å, degrees): 4.594 4.594 4.594 90.00 90.00 90.00
Atoms (fractional coordinates):
1 W 0.000 0.000 0.500
2 Y 0.500 0.500 0.500
3 W 0.000 0.500 0.000
4 W 0.500 0.000 0.000
5 Mn 0.000 0.000 0.000

Its uncorrected energy is -9.907 eV/atom. Its density of states at the Fermi level is 1.432 states/eV/atom. For the formation energy, the calculation gives 0.9913 eV per atom. The value obtained for the volume is 19.40 Å³/atom. Its symmetry is Pm-3m. The calculation puts the total magnetic moment at 0.00 μB/atom.

***

Q: Among the records above, which one has the highest uncorrected energy?
A: number 4

***

Q: Look up the uncorrected energy of the second one.
A: -8.911 eV/atom

***

Q: Which value of total magnetic moment does entry 2 give?
A: 0.49 μB/atom